PuAgSeN after structural relaxation. Source: Alexandria via LeMat-Bulk, functional PBE.

a = 3.9426 Å, b = 3.9426 Å, c = 11.4097 Å
α = 80.05°, β = 80.05°, γ = 60.00°
Last column: magnetic moment on the atom in μB.
Fractional coordinates of all 8 atoms:
Ag 0.6923 0.6923 0.9231  -0.02
Pu 0.8738 0.8738 0.3785  4.38
Se 0.5995 0.5995 0.2016  -0.12
Ag 0.3077 0.3077 0.0769  -0.02
N 0.8088 0.8088 0.5737  -0.29
N 0.1912 0.1912 0.4263  -0.29
Se 0.4005 0.4005 0.7984  -0.12
Pu 0.1262 0.1262 0.6215  4.38

## Properties
- formation energy without anion corrections (eV/atom) = -0.83
- total moment (μB/f.u.) = 4.0
- total DFT energy (no corrections) (eV/cell) = -64.64